A plane-wave DFT calculation with PBE was carried out for a relaxed Pm3TlIr crystal.

Geometry as POSCAR:
```
Pm3TlIr
1.0
4.939 0.000 0.000
0.000 7.493 0.000
0.000 0.000 15.461
Pm Tl Ir
12 4 4
Direct
0.250 0.367 0.542
0.750 0.807 0.221
0.750 0.488 0.901
0.750 0.988 0.599
0.750 0.633 0.458
0.250 0.012 0.401
0.250 0.867 0.958
0.750 0.307 0.279
0.250 0.693 0.721
0.250 0.193 0.779
0.750 0.133 0.042
0.250 0.512 0.099
0.750 0.916 0.821
0.250 0.084 0.179
0.750 0.416 0.679
0.250 0.584 0.321
0.250 0.273 0.956
0.250 0.773 0.544
0.750 0.227 0.456
0.750 0.727 0.044
```

Density ... 9.7 g/cm³
Energy above the most stable polymorph in this dataset ... 0 meV per atom
E ... -5.60 eV per atom